Record 1
This record from Alexandria describes a crystal of Zr2AgRh relaxed with PBEsol. The functional is SCAN.

Results
ρ	8.90	Mg/m³
ΔH_f (0 K)	-137	kJ/mol of formula units
size of the total moment	0.00	μB/cell
symmetry	Imm2 (44)

Lattice parameters (Å, degrees): 5.588 5.588 5.588 145.03 132.19 60.59
Sites, in units of the cell vectors:
Zr  0.000  0.000  0.000
Zr  0.730  0.230  0.500
Ag  0.458  0.458  0.000
Rh  0.220  0.720  0.500

---

Record 2
This record from Alexandria describes a crystal of Al4Ag relaxed with PBEsol. The functional is SCAN.

Results
ρ	4.38	Mg/m³
ΔH_f (0 K)	-1	kJ/mol of formula units
size of the total moment	0.02	μB/cell
symmetry	I4/m (87)

Lattice parameters (Å, degrees): 4.923 4.923 4.923 99.81 99.81 131.25
Sites, in units of the cell vectors:
Al  0.104  0.303  0.407
Al  0.303  0.896  0.199
Al  0.697  0.104  0.801
Al  0.896  0.697  0.593
Ag  0.500  0.500  0.000

---

Record 3
This record from Alexandria describes a crystal of Sc2ZnCr relaxed with PBEsol. The functional is SCAN.

Results
ρ	4.85	Mg/m³
ΔH_f (0 K)	-71	kJ/mol of formula units
size of the total moment	3.87	μB/cell
symmetry	P4/mmm (123)

Lattice parameters (Å, degrees): 4.655 4.655 3.274 90.00 90.00 90.00
Sites, in units of the cell vectors:
Sc  0.000  0.500  0.000
Sc  0.500  0.000  0.000
Zn  0.000  0.000  0.500
Cr  0.500  0.500  0.500